## PrSc2C (PBE)

Data for an optimized crystal structure of PrSc2C.

Computed properties:
Energy relative to the elements in eV per atom: -0.22
Density in g cm⁻³: 4.5
Density of states at the Fermi level in states/eV/cell: 13.70

The structure in CIF format:
```
data_PrSc2C
_symmetry_space_group_name_H-M 'R -3 m'
_symmetry_Int_Tables_number 166
_symmetry_space_group_name_Hall '-R 3 2"'
_cell_length_a 3.3416
_cell_length_b 3.3416
_cell_length_c 28.1018
_cell_angle_alpha 90.00
_cell_angle_beta 90.00
_cell_angle_gamma 120.00
loop_
_atom_site_label
_atom_site_type_symbol
_atom_site_fract_x
_atom_site_fract_y
_atom_site_fract_z
Pr1 Pr 0.0000 0.0000 0.0000
Sc1 Sc 0.0000 0.0000 0.1232
C1 C 0.0000 0.0000 0.5000
```